Entry 1:
Compound: FeTc3F
Source: Alexandria
Functional: PBE with a Hubbard U
Structure: optimized geometry

Computed properties:
Offset from the most stable computed form in meV per atom: 942
E in eV/f.u.: -28.72
D(E_F) in states/eV/cell: 7.8

a = 4.531 Å, b = 4.531 Å, c = 4.531 Å
α = 90.00°, β = 90.00°, γ = 90.00°
Space group Pm-3m (No. 221)
Inequivalent atoms, fractional coordinates:
Fe  0.000  0.000  0.000
Tc  0.000  0.000  0.500
F  0.500  0.500  0.500



Entry 2:
Compound: Fe2TcF
Source: Alexandria
Functional: PBE with a Hubbard U
Structure: optimized geometry

Computed properties:
Offset from the most stable computed form in meV per atom: 0
E in eV/f.u.: -22.24
D(E_F) in states/eV/cell: 12.5

a = 6.171 Å, b = 6.171 Å, c = 6.421 Å
α = 90.00°, β = 90.00°, γ = 90.00°
Space group I-42d (No. 122)
Inequivalent atoms, fractional coordinates:
Fe  0.191  0.250  0.125
Tc  0.000  0.000  0.500
F  0.000  0.000  0.000



Entry 3:
Compound: FeTcF2
Source: Alexandria
Functional: PBE with a Hubbard U
Structure: optimized geometry

Computed properties:
Offset from the most stable computed form in meV per atom: 565
E in eV/f.u.: -20.85
D(E_F) in states/eV/cell: 13.6

a = 5.101 Å, b = 5.101 Å, c = 10.790 Å
α = 90.00°, β = 90.00°, γ = 90.00°
Space group I-42d (No. 122)
Inequivalent atoms, fractional coordinates:
Fe  0.000  0.000  0.000
Tc  0.000  0.000  0.500
F  0.163  0.250  0.125



Entry 4:
Compound: Fe2Tc2F
Source: Alexandria
Functional: PBE with a Hubbard U
Structure: optimized geometry

Computed properties:
E in eV/f.u.: -30.80
D(E_F) in states/eV/cell: 7.1

a = 3.465 Å, b = 3.465 Å, c = 13.487 Å
α = 90.00°, β = 90.00°, γ = 90.00°
Space group I4/mmm (No. 139)
Inequivalent atoms, fractional coordinates:
Fe  0.000  0.000  0.093
Tc  0.000  0.500  0.250
F  0.000  0.000  0.500



Entry 5:
Compound: FeTcF2
Source: Alexandria
Functional: PBE with a Hubbard U
Structure: optimized geometry

Computed properties:
Offset from the most stable computed form in meV per atom: 626
E in eV/f.u.: -20.61
D(E_F) in states/eV/cell: 10.5

a = 5.969 Å, b = 5.969 Å, c = 5.969 Å
α = 90.00°, β = 90.00°, γ = 90.00°
Space group Fm-3m (No. 225)
Inequivalent atoms, fractional coordinates:
Fe  0.000  0.000  0.000
Tc  0.000  0.000  0.500
F  0.250  0.250  0.250



Entry 6:
Compound: FeTc3F
Source: Alexandria
Functional: PBE with a Hubbard U
Structure: optimized geometry

Computed properties:
Offset from the most stable computed form in meV per atom: 0
E in eV/f.u.: -33.43
D(E_F) in states/eV/cell: 5.0

a = 4.163 Å, b = 4.163 Å, c = 4.163 Å
α = 90.00°, β = 90.00°, γ = 90.00°
Space group Pm-3m (No. 221)
Inequivalent atoms, fractional coordinates:
Fe  0.000  0.000  0.000
Tc  0.000  0.500  0.500
F  0.500  0.500  0.500